{
  "formula": "Zn2AsW",
  "functional": "meta-GGA SCAN",
  "state": "PBEsol geometry",
  "dft_energy_ev_per_atom": -28.95,
  "formation_energy_mev_per_atom": 275,
  "n_ef_per_ev_atom": 0.464,
  "lattice_angstrom": [[4.6116, -1.3701, 0.0000], [4.6116, 1.3701, 0.0000], [-0.4818, 0.0000, 4.7935]],
  "species": ["Zn", "Zn", "As", "W"],
  "frac_coords": [[0.0000, 0.0000, 0.0000], [0.2501, 0.2501, 0.8001], [0.4730, 0.4730, 0.4770], [0.7323, 0.7323, 0.2885]]
}

***

{
  "formula": "ZrAsW2",
  "functional": "meta-GGA SCAN",
  "state": "PBEsol geometry",
  "dft_energy_ev_per_atom": -47.36,
  "formation_energy_mev_per_atom": 211,
  "n_ef_per_ev_atom": 0.780,
  "lattice_angstrom": [[-2.1152, 2.1152, 3.7184], [2.1152, -2.1152, 3.7184], [2.1152, 2.1152, -3.7184]],
  "species": ["Zr", "As", "W", "W"],
  "frac_coords": [[0.0000, 0.0000, 0.0000], [0.7500, 0.2500, 0.5000], [0.2500, 0.7500, 0.5000], [0.5000, 0.5000, 0.0000]]
}

***

{
  "formula": "ZrAs2W",
  "functional": "meta-GGA SCAN",
  "state": "PBEsol geometry",
  "dft_energy_ev_per_atom": -35.59,
  "formation_energy_mev_per_atom": -396,
  "n_ef_per_ev_atom": 0.370,
  "de_polymorph_ev_per_atom": 0.0000,
  "lattice_angstrom": [[3.4158, 0.0000, 0.0000], [0.0000, 3.4158, 0.0000], [0.0000, 0.0000, 5.8773]],
  "species": ["Zr", "As", "As", "W"],
  "frac_coords": [[0.0000, 0.0000, 0.0000], [0.0000, 0.0000, 0.5101], [0.5000, 0.5000, 0.1920], [0.5000, 0.5000, 0.6863]]
}

***

{
  "formula": "ZrAsW2",
  "functional": "meta-GGA SCAN",
  "state": "PBEsol geometry",
  "dft_energy_ev_per_atom": -47.27,
  "formation_energy_mev_per_atom": 297,
  "n_ef_per_ev_atom": 0.541,
  "lattice_angstrom": [[1.6600, -2.3934, 0.0000], [1.6600, 2.3934, 0.0000], [0.0000, 0.0000, 8.4996]],
  "species": ["Zr", "As", "W", "W"],
  "frac_coords": [[0.0000, 0.0000, 0.0000], [0.0000, 0.0000, 0.5000], [0.5000, 0.5000, 0.2708], [0.5000, 0.5000, 0.7292]]
}

***

{
  "formula": "ZrAsW2",
  "functional": "meta-GGA SCAN",
  "state": "PBEsol geometry",
  "dft_energy_ev_per_atom": -47.35,
  "formation_energy_mev_per_atom": 217,
  "n_ef_per_ev_atom": 0.563,
  "lattice_angstrom": [[3.4067, 0.0000, 0.0000], [0.0000, 3.4067, 0.0000], [0.0000, 0.0000, 5.7749]],
  "species": ["Zr", "As", "W", "W"],
  "frac_coords": [[0.0000, 0.0000, 0.0000], [0.0000, 0.0000, 0.5000], [0.5000, 0.5000, 0.2715], [0.5000, 0.5000, 0.7285]]
}

***

{
  "formula": "Zr4AsW",
  "functional": "meta-GGA SCAN",
  "state": "PBEsol geometry",
  "dft_energy_ev_per_atom": -34.81,
  "formation_energy_mev_per_atom": 636,
  "n_ef_per_ev_atom": 1.165,
  "lattice_angstrom": [[0.0000, 3.8995, 3.8995], [3.8995, 0.0000, 3.8995], [3.8995, 3.8995, 0.0000]],
  "species": ["Zr", "Zr", "Zr", "Zr", "As", "W"],
  "frac_coords": [[0.1233, 0.1233, 0.1233], [0.1233, 0.1233, 0.6302], [0.1233, 0.6302, 0.1233], [0.6302, 0.1233, 0.1233], [0.5000, 0.5000, 0.5000], [0.7500, 0.7500, 0.7500]]
}

***

{
  "formula": "ZrAs2W",
  "functional": "meta-GGA SCAN",
  "state": "PBEsol geometry",
  "dft_energy_ev_per_atom": -35.54,
  "formation_energy_mev_per_atom": -344,
  "n_ef_per_ev_atom": 0.204,
  "de_polymorph_ev_per_atom": 0.0520,
  "lattice_angstrom": [[4.6541, -1.6403, 0.0000], [4.6541, 1.6403, 0.0000], [-1.0408, 0.0000, 4.4423]],
  "species": ["Zr", "As", "As", "W"],
  "frac_coords": [[0.0000, 0.0000, 0.0000], [0.2656, 0.2656, 0.8759], [0.5001, 0.5001, 0.5027], [0.7763, 0.7763, 0.3989]]
}

***

{
  "formula": "YAs8",
  "functional": "meta-GGA SCAN",
  "state": "PBEsol geometry",
  "dft_energy_ev_per_atom": -21.02,
  "formation_energy_mev_per_atom": 17,
  "n_ef_per_ev_atom": 0.654,
  "lattice_angstrom": [[-5.0680, 5.0680, 1.7461], [5.0680, -5.0680, 1.7461], [5.0680, 5.0680, -1.7461]],
  "species": ["Y", "As", "As", "As", "As", "As", "As", "As", "As"],
  "frac_coords": [[0.0000, 0.0000, 0.0000], [0.0000, 0.2952, 0.2952], [0.0000, 0.7048, 0.7048], [0.2952, 0.0000, 0.2952], [0.3322, 0.3322, 0.6645], [0.3322, 0.6678, 0.0000], [0.6678, 0.3322, 0.0000], [0.6678, 0.6678, 0.3355], [0.7048, 0.0000, 0.7048]]
}

***

Number 1: mass density 10680 kg/m3. Number 2: mass density 13321 kg/m3. Number 3: mass density 10289 kg/m3. Number 4: mass density 13125 kg/m3. Number 5: mass density 13227 kg/m3. Number 6: mass density 8732 kg/m3. Number 7: mass density 10403 kg/m3. Number 8: mass density 6371 kg/m3.